# AgMo

A geometry-optimized AgMo structure (GGA-PBE, Alexandria via LeMat-Bulk).

Unit cell a=2.7000 b=16.9375 c=3.0345 alpha=90.00 beta=90.00 gamma=90.00
With the nearest neighbours (Å) after each atom.
Space group Cmcm (No. 63)
Inequivalent atoms, fractional coordinates:
Ag 0.0000 0.1869 0.2500 (multiplicity 4)  6 Ag 2.70-2.95, 4 Mo 2.95
Mo 0.0000 0.4398 0.2500 (multiplicity 4)  4 Mo 2.54-2.70

Computed properties:
Formation enthalpy at 0 K (eV/atom): 0.5282